A relaxed structure of FeTe2SI. Source: the Alexandria database, functional PBE-GGA.

Cell: 4.927 4.927 5.267 Å, 90.00 90.00 90.00°
Space group P4/mmm (No. 123)
Symmetry-distinct sites (fractional):
Fe 0.000 0.000 0.000 (multiplicity 1)
Te 0.000 0.500 0.000 (multiplicity 2)
S 0.500 0.500 0.500 (multiplicity 1)
I 0.000 0.000 0.500 (multiplicity 1)

Its uncorrected formation energy is 0.6466 eV/atom. The relative energy among the computed polymorphs is 0.0 meV/atom. Its total energy is -17.19 eV for the cell shown.